The following is a PBE-GGA calculation of an optimized crystal structure of ScPPt4, from Alexandria via LeMat-Bulk.

Properties
Electronic total energy, eV/f.u.: -37.68

Cell: 7.470 7.470 7.470 Å, 90.00 90.00 90.00°
Space group F-43m (No. 216)
Asymmetric unit:
Sc: 0.000 0.000 0.000 x4
P: 0.250 0.250 0.750 x4
Pt: 0.125 0.125 0.375 x16

The following is a PBE-GGA calculation of an optimized crystal structure of ScAs2Br, from Alexandria via LeMat-Bulk.

Properties
E above lowest polymorph, meV/atom: 348
Raw formation energy, eV/atom: -0.45

Cell: 4.028 4.028 22.257 Å, 90.00 90.00 90.00°
Space group I-42d (No. 122)
Asymmetric unit:
Sc: 0.000 0.000 0.000 x4
As: 0.186 0.250 0.125 x8
Br: 0.000 0.000 0.500 x4

The following is a PBE-GGA calculation of an optimized crystal structure of Li2CdRe, from Alexandria via LeMat-Bulk.

Properties
Electronic total energy, eV/f.u.: -15.76

Cell: 2.609 4.536 5.522 Å, 90.00 103.56 90.00°
Space group Pm (No. 6)
Asymmetric unit:
Li: 0.000 0.000 0.000 x1
Li: 0.103 0.500 0.240 x1
Cd: 0.356 0.500 0.731 x1
Re: 0.727 0.000 0.477 x1

The following is a PBE-GGA calculation of an optimized crystal structure of InTe2F, from Alexandria via LeMat-Bulk.

Properties
E above lowest polymorph, meV/atom: 0
Raw formation energy, eV/atom: -0.39

Cell: 7.137 7.137 7.137 Å, 90.00 90.00 90.00°
Space group Fm-3m (No. 225)
Asymmetric unit:
In: 0.000 0.000 0.000 x4
Te: 0.250 0.250 0.250 x8
F: 0.000 0.000 0.500 x4

The following is a PBE-GGA calculation of an optimized crystal structure of NiH2I2, from Alexandria via LeMat-Bulk.

Properties
Electronic total energy, eV/f.u.: -15.91

Cell: 6.844 3.957 9.703 Å, 90.00 92.65 90.00°
Space group C2/m (No. 12)
Asymmetric unit:
Ni: 0.000 0.000 0.000 x2
H: 0.040 0.000 0.528 x4
I: 0.177 0.500 0.155 x4

The following is a PBE-GGA calculation of an optimized crystal structure of Li3BiC, from Alexandria via LeMat-Bulk.

Properties
E above lowest polymorph, meV/atom: 0

Cell: 4.231 4.231 4.231 Å, 90.00 90.00 90.00°
Space group Pm-3m (No. 221)
Asymmetric unit:
Li: 0.000 0.000 0.500 x3
Bi: 0.500 0.500 0.500 x1
C: 0.000 0.000 0.000 x1

Record-wise size of the total moment values, in Bohr magnetons per cell: 0.00 0.00 0.22 0.00 4.03 0.00